# 1
{"formula": "Al2Co5SiB2", "functional": "PBE-GGA", "state": "optimized geometry", "lattice": [[-1.944, -1.033, 1.767], [5.571, -5.640, 2.829], [2.496, 5.436, 5.922]], "species": ["Al", "Al", "Al", "Al", "Co", "Co", "Co", "Co", "Co", "Co", "Co", "Co", "Co", "Co", "Si", "Si", "B", "B", "B", "B"], "fractional_positions": [[0.000, 0.674, 0.174], [0.000, 0.326, 0.826], [0.000, 0.174, 0.326], [0.000, 0.826, 0.674], [0.500, 0.212, 0.073], [0.500, 0.788, 0.927], [0.500, 0.073, 0.788], [0.500, 0.712, 0.427], [0.500, 0.927, 0.212], [0.500, 0.288, 0.573], [0.500, 0.573, 0.712], [0.500, 0.427, 0.288], [0.500, 0.500, 0.000], [0.500, 0.000, 0.500], [0.000, 0.000, 0.000], [0.000, 0.500, 0.500], [0.000, 0.124, 0.624], [0.000, 0.876, 0.376], [0.000, 0.624, 0.876], [0.000, 0.376, 0.124]], "final_energy_ev_per_atom": -6.688}


# 2
{"formula": "RbPrCuBr6", "functional": "PBE-GGA", "state": "optimized geometry", "lattice": [[-3.385, -6.931, 1.028], [0.182, -3.711, 6.060], [-6.996, 2.612, 2.209]], "species": ["Rb", "Pr", "Cu", "Br", "Br", "Br", "Br", "Br", "Br"], "fractional_positions": [[0.045, 0.934, 0.001], [0.676, 0.631, 0.513], [0.305, 0.336, 0.470], [0.026, 0.352, 0.254], [0.349, 0.068, 0.703], [0.617, 0.408, 0.799], [0.001, 0.654, 0.655], [0.384, 0.601, 0.323], [0.597, 0.015, 0.281]], "final_energy_ev_per_atom": -3.508}


Number 1: size of the total moment 0.0 μB per cell, DOS at the Fermi energy 0.465 states/eV per atom. Number 2: size of the total moment 1.0 μB per cell, DOS at the Fermi energy 0.008 states/eV per atom.